# 1
Here is SrLiCa3 after structural relaxation from the Alexandria database. Energies are from PBE-GGA.

The structure belongs to space group Pm-3m (No. 221); the cell edges are 6.770, 6.770 and 6.770 Å and the angles 90.00°, 90.00° and 90.00°. The inequivalent atoms are Sr at (0.000, 0.000, 0.000), Li at (0.500, 0.500, 0.500) and Ca at (0.000, 0.000, 0.500).

As for the energy: -5.2 eV per cell. The relative energy among the computed polymorphs is 782 meV/atom.



# 2
Here is Nd3Ga7Au2 after structural relaxation from the Alexandria database. Energies are from PBE-GGA.

The structure belongs to space group P2/m (No. 10); the cell edges are 4.344, 4.346 and 13.822 Å and the angles 90.00°, 98.99° and 90.00°. The inequivalent atoms are Nd at (0.000, 0.000, 0.000), Nd at (0.316, 0.500, 0.632), Ga at (0.079, 0.500, 0.162), Ga at (0.227, 0.000, 0.454), Ga at (0.419, 0.000, 0.838), Ga at (0.500, 0.500, 0.000) and Au at (0.134, 0.000, 0.268).

As for the energy: -49.3 eV per cell.



# 3
Here is TaTiFe after structural relaxation from the Alexandria database. Energies are from PBE-GGA.

The structure belongs to space group P-1 (No. 2); the cell edges are 2.994, 5.451 and 6.268 Å and the angles 97.29°, 103.75° and 105.92°. The inequivalent atoms are Ta at (0.090, 0.244, 0.438), Ti at (0.213, 0.804, 0.122) and Fe at (0.458, 0.597, 0.818).

As for the energy: -56.8 eV per cell. The relative energy among the computed polymorphs is 0 meV/atom.



# 4
Here is Cu2TcSe after structural relaxation from the Alexandria database. Energies are from PBE-GGA.

The structure belongs to space group F-43m (No. 216); the cell edges are 6.078, 6.078 and 6.078 Å and the angles 90.00°, 90.00° and 90.00°. The inequivalent atoms are Cu at (0.000, 0.000, 0.000), Cu at (0.250, 0.250, 0.250), Tc at (0.250, 0.250, 0.750) and Se at (0.000, 0.000, 0.500).

As for the energy: -81.7 eV per cell. Its formation energy (no corrections) is 0.4054 eV per atom.



# 5
Here is BPt2I8 after structural relaxation from the Alexandria database. Energies are from PBE-GGA.

The structure belongs to space group P-1 (No. 2); the cell edges are 7.556, 7.717 and 10.475 Å and the angles 72.35°, 69.18° and 84.98°. The inequivalent atoms are B at (0.000, 0.000, 0.000), Pt at (0.207, 0.428, 0.355), I at (0.150, 0.662, 0.501), I at (0.219, 0.834, 0.965), I at (0.242, 0.185, 0.221) and I at (0.441, 0.463, 0.783).

As for the energy: -30.2 eV per cell. Its formation energy (no corrections) is 0.0883 eV per atom.



# 6
Here is DyTiSb2 after structural relaxation from the Alexandria database. Energies are from PBE-GGA.

The structure belongs to space group R-3m (No. 166, hexagonal axes); the cell edges are 4.1500, 4.1500 and 20.5632 Å and the angles 90.00°, 90.00° and 120.00°. The inequivalent atoms are Dy at (0.0000, 0.0000, 0.0000), Ti at (0.0000, 0.0000, 0.5000) and Sb at (0.0000, 0.0000, 0.2406).

As for the energy: -70.6 eV per cell. Its formation energy (no corrections) is -0.6984 eV per atom.



# 7
Here is Ba2SrCd after structural relaxation from the Alexandria database. Energies are from PBE-GGA.

The structure belongs to space group I-42d (No. 122); the cell edges are 10.444, 10.444 and 7.561 Å and the angles 90.00°, 90.00° and 90.00°. The inequivalent atoms are Ba at (0.189, 0.750, 0.125), Sr at (0.000, 0.000, 0.500) and Cd at (0.000, 0.000, 0.000).

As for the energy: -25.5 eV per cell.



# 8
Here is Na2Al2Ni after structural relaxation from the Alexandria database. Energies are from PBE-GGA.

The structure belongs to space group P4/mbm (No. 127); the cell edges are 6.283, 6.283 and 5.352 Å and the angles 90.00°, 90.00° and 90.00°. The inequivalent atoms are Na at (0.177, 0.323, 0.000), Al at (0.165, 0.665, 0.500) and Ni at (0.000, 0.000, 0.500).

As for the energy: -31.0 eV per cell. The relative energy among the computed polymorphs is 0 meV/atom.